No. 1
A geometry-optimized Ta3BiAs structure. Source: Alexandria, functional PBEsol.

Calculated values
DFT formation energy = 0.932 eV/atom

Cell and atoms, written as POSCAR:
```
Ta3BiAs
1.0
4.755 0.000 0.000
0.000 4.755 0.000
0.000 0.000 4.755
Ta Bi As
3 1 1
direct
0.000 0.000 0.500
0.000 0.500 0.000
0.500 0.000 0.000
0.500 0.500 0.500
0.000 0.000 0.000
```



No. 2
A geometry-optimized TcBi3As structure. Source: Alexandria, functional PBEsol.

Calculated values
Distance to the lowest polymorph of the same formula = 0.768 eV/atom
DFT formation energy = 1.397 eV/atom

Cell and atoms, written as POSCAR:
```
TcBi3As
1.0
5.397 0.000 0.000
0.000 5.397 0.000
0.000 0.000 5.397
Tc Bi As
1 3 1
direct
0.000 0.000 0.000
0.000 0.500 0.500
0.500 0.000 0.500
0.500 0.500 0.000
0.500 0.500 0.500
```



No. 3
A geometry-optimized TcBi3As structure. Source: Alexandria, functional PBEsol.

Calculated values
Distance to the lowest polymorph of the same formula = 0.000 eV/atom
DFT formation energy = 0.629 eV/atom

Cell and atoms, written as POSCAR:
```
TcBi3As
1.0
5.188 0.000 0.000
0.000 5.188 0.000
0.000 0.000 5.188
Tc Bi As
1 3 1
direct
0.000 0.000 0.000
0.000 0.000 0.500
0.000 0.500 0.000
0.500 0.000 0.000
0.500 0.500 0.500
```



No. 4
A geometry-optimized Ti2BiAs2 structure. Source: Alexandria, functional PBEsol.

Calculated values
DFT formation energy = -0.489 eV/atom

Cell and atoms, written as POSCAR:
```
Ti2BiAs2
1.0
-2.351 2.351 4.432
2.351 -2.351 4.432
2.351 2.351 -4.432
Ti Bi As
2 1 2
direct
0.250 0.750 0.500
0.750 0.250 0.500
0.000 0.000 0.000
0.360 0.360 0.000
0.640 0.640 0.000
```



No. 5
A geometry-optimized Zn3BiAs structure. Source: Alexandria, functional PBEsol.

Calculated values
DFT formation energy = 0.379 eV/atom

Cell and atoms, written as POSCAR:
```
Zn3BiAs
1.0
4.813 0.000 0.000
0.000 4.813 0.000
0.000 0.000 4.813
Zn Bi As
3 1 1
direct
0.000 0.000 0.500
0.000 0.500 0.000
0.500 0.000 0.000
0.500 0.500 0.500
0.000 0.000 0.000
```



No. 6
A geometry-optimized Zn2BiAs2 structure. Source: Alexandria, functional PBEsol.

Calculated values
DFT formation energy = 0.062 eV/atom

Cell and atoms, written as POSCAR:
```
Zn2BiAs2
1.0
-1.925 1.925 6.817
1.925 -1.925 6.817
1.925 1.925 -6.817
Zn Bi As
2 1 2
direct
0.250 0.750 0.500
0.750 0.250 0.500
0.000 0.000 0.000
0.376 0.376 0.000
0.624 0.624 0.000
```



No. 7
A geometry-optimized AsBr3 structure. Source: Alexandria, functional PBEsol.

Calculated values
E_form (uncorrected) = -384 meV per atom

Cell and atoms, written as POSCAR:
```
AsBr3
1.0
4.033 0.000 0.000
0.000 10.352 0.000
0.000 0.000 12.258
As Br
4 12
direct
0.005 0.198 0.287
0.495 0.802 0.787
0.505 0.302 0.713
0.995 0.698 0.213
0.208 0.297 0.881
0.210 0.140 0.617
0.236 0.483 0.635
0.264 0.517 0.135
0.290 0.860 0.117
0.292 0.703 0.381
0.708 0.203 0.119
0.710 0.360 0.383
0.736 0.017 0.365
0.764 0.983 0.865
0.790 0.640 0.883
0.792 0.797 0.619
```



No. 8
A geometry-optimized AsBr8 structure. Source: Alexandria, functional PBEsol.

Calculated values
E_form (uncorrected) = 107 meV per atom

Cell and atoms, written as POSCAR:
```
AsBr8
1.0
-4.270 4.270 3.609
4.270 -4.270 3.609
4.270 4.270 -3.609
As Br
1 8
direct
0.000 0.000 0.000
0.000 0.305 0.305
0.000 0.695 0.695
0.305 0.000 0.305
0.333 0.333 0.667
0.333 0.667 0.000
0.667 0.333 0.000
0.667 0.667 0.333
0.695 0.000 0.695
```



No. 9
A geometry-optimized AsBr3 structure. Source: Alexandria, functional PBEsol.

Calculated values
E_form (uncorrected) = -337 meV per atom

Cell and atoms, written as POSCAR:
```
AsBr3
1.0
5.164 0.000 0.000
0.000 7.251 0.000
0.000 0.000 8.893
As Br
2 6
direct
0.250 0.250 0.158
0.750 0.750 0.842
0.250 0.004 0.327
0.250 0.496 0.327
0.250 0.750 0.915
0.750 0.250 0.085
0.750 0.504 0.673
0.750 0.996 0.673
```



No. 10
A geometry-optimized AsBr structure. Source: Alexandria, functional PBEsol.

Calculated values
Distance to the lowest polymorph of the same formula = 0.105 eV/atom
E_form (uncorrected) = -95 meV per atom

Cell and atoms, written as POSCAR:
```
AsBr
1.0
6.644 -1.862 0.000
6.644 1.862 0.000
-2.439 0.000 7.358
As Br
3 3
direct
0.000 0.000 0.000
0.002 0.002 0.427
0.441 0.441 0.179
0.186 0.186 0.078
0.187 0.187 0.542
0.470 0.470 0.690
```



No. 11
A geometry-optimized As2Br structure. Source: Alexandria, functional PBEsol.

Calculated values
Distance to the lowest polymorph of the same formula = 0.000 eV/atom
E_form (uncorrected) = -115 meV per atom

Cell and atoms, written as POSCAR:
```
As2Br
1.0
1.833 -7.646 0.000
1.833 7.646 0.000
0.000 0.000 5.238
As Br
4 2
direct
0.020 0.980 0.750
0.368 0.632 0.250
0.632 0.368 0.750
0.980 0.020 0.250
0.330 0.670 0.750
0.670 0.330 0.250
```



No. 12
A geometry-optimized AsBr structure. Source: Alexandria, functional PBEsol.

Calculated values
Distance to the lowest polymorph of the same formula = 0.000 eV/atom
E_form (uncorrected) = -200 meV per atom

Cell and atoms, written as POSCAR:
```
AsBr
1.0
4.053 0.000 0.000
0.000 3.825 0.000
-0.251 0.000 7.434
As Br
2 2
direct
0.207 0.250 0.003
0.793 0.750 0.997
0.260 0.250 0.320
0.740 0.750 0.680
```